Record 1
Compound: RbAsI2N
Source: Alexandria via LeMat-Bulk
Functional: PBEsol
Structure: optimized geometry

Magnetic moment (μB/cell): 4.9
Final energy (eV/cell): -11.4
ΔE_f (raw) (meV per atom): 1356

Cell lengths 6.639, 6.639, 5.301 Å; angles 90.00, 90.00, 90.00 degrees
Space group P4/mmm (No. 123)
Inequivalent atoms, fractional coordinates:
Rb  0.000  0.000  0.000 [1 per cell]
As  0.500  0.500  0.500 [1 per cell]
I  0.000  0.500  0.000 [2 per cell]
N  0.000  0.000  0.500 [1 per cell]


Record 2
Compound: HgAuN2F
Source: Alexandria via LeMat-Bulk
Functional: PBEsol
Structure: optimized geometry

Magnetic moment (μB/cell): 2.8
Final energy (eV/cell): -15.2
ΔE_f (raw) (meV per atom): 1654

Cell lengths 4.194, 4.194, 4.400 Å; angles 90.00, 90.00, 90.00 degrees
Space group P4/mmm (No. 123)
Inequivalent atoms, fractional coordinates:
Hg  0.000  0.000  0.000 [1 per cell]
Au  0.500  0.500  0.500 [1 per cell]
N  0.000  0.500  0.000 [2 per cell]
F  0.000  0.000  0.500 [1 per cell]


Record 3
Compound: ZnNi3
Source: Alexandria via LeMat-Bulk
Functional: PBEsol
Structure: optimized geometry

Magnetic moment (μB/cell): 0.6
Final energy (eV/cell): -40.7
DFT formation energy (meV per atom): -69

Cell lengths 2.638, 4.071, 8.126 Å; angles 90.00, 90.00, 90.00 degrees
Space group Immm (No. 71)
Inequivalent atoms, fractional coordinates:
Zn  0.000  0.000  0.000 [2 per cell]
Ni  0.000  0.000  0.500 [2 per cell]
Ni  0.000  0.500  0.248 [4 per cell]


Record 4
Compound: ZrZnRu2
Source: Alexandria via LeMat-Bulk
Functional: PBEsol
Structure: optimized geometry

Magnetic moment (μB/cell): 0.0
Final energy (eV/cell): -32.1
DFT formation energy (meV per atom): -277

Cell lengths 4.281, 4.281, 3.243 Å; angles 90.00, 90.00, 90.00 degrees
Space group P4/mmm (No. 123)
Inequivalent atoms, fractional coordinates:
Zr  0.000  0.000  0.000 [1 per cell]
Zn  0.500  0.500  0.000 [1 per cell]
Ru  0.000  0.500  0.500 [2 per cell]


Record 5
Compound: Mg2AlTl
Source: Alexandria via LeMat-Bulk
Functional: PBEsol
Structure: optimized geometry

Magnetic moment (μB/cell): 0.0
Final energy (eV/cell): -20.2
DFT formation energy (meV per atom): 10

Cell lengths 4.423, 4.423, 8.656 Å; angles 90.00, 90.00, 90.00 degrees
Space group I4/mmm (No. 139)
Inequivalent atoms, fractional coordinates:
Mg  0.000  0.500  0.250 [4 per cell]
Al  0.000  0.000  0.000 [2 per cell]
Tl  0.000  0.000  0.500 [2 per cell]


Record 6
Compound: Mn2TlSe
Source: Alexandria via LeMat-Bulk
Functional: PBEsol
Structure: optimized geometry

Magnetic moment (μB/cell): 17.0
Relative energy among the computed polymorphs (eV per atom): 0.107
Final energy (eV/cell): -74.6
ΔE_f (raw) (meV per atom): 285

Cell lengths 3.1352, 3.1352, 25.9144 Å; angles 90.00, 90.00, 120.00 degrees
Space group R3m (No. 160, hexagonal axes)
Inequivalent atoms, fractional coordinates:
Mn  0.0000  0.0000  0.0000 [3 per cell]
Mn  0.0000  0.0000  0.2612 [3 per cell]
Tl  0.0000  0.0000  0.5046 [3 per cell]
Se  0.0000  0.0000  0.7232 [3 per cell]


Record 7
Compound: CsZnSbH2
Source: Alexandria via LeMat-Bulk
Functional: PBEsol
Structure: optimized geometry

Magnetic moment (μB/cell): 0.0
Final energy (eV/cell): -14.6

Cell lengths 4.6027, 4.6027, 6.1192 Å; angles 90.00, 90.00, 120.00 degrees
Space group P3m1 (No. 156)
Inequivalent atoms, fractional coordinates:
Cs  0.0000  0.0000  0.0000 [1 per cell]
Zn  0.6667  0.3333  0.4341 [1 per cell]
Sb  0.3333  0.6667  0.5200 [1 per cell]
H  0.3333  0.6667  0.8046 [1 per cell]
H  0.6667  0.3333  0.1676 [1 per cell]


Record 8
Compound: Al2TlOs
Source: Alexandria via LeMat-Bulk
Functional: PBEsol
Structure: optimized geometry

Magnetic moment (μB/cell): 0.0
Relative energy among the computed polymorphs (eV per atom): 0.000
Final energy (eV/cell): -44.3
DFT formation energy (meV per atom): 223

Cell lengths 8.889, 3.145, 4.952 Å; angles 90.00, 100.13, 90.00 degrees
Space group Cm (No. 8)
Inequivalent atoms, fractional coordinates:
Al  0.000  0.000  0.000 [2 per cell]
Al  0.250  0.000  0.743 [2 per cell]
Tl  0.266  0.500  0.278 [2 per cell]
Os  0.021  0.500  0.608 [2 per cell]


Record 9
Compound: CuReSiNi2
Source: Alexandria via LeMat-Bulk
Functional: PBEsol
Structure: optimized geometry

Magnetic moment (μB/cell): 0.5
Final energy (eV/cell): -31.1
ΔE_f (raw) (meV per atom): 919

Cell lengths 4.061, 4.061, 4.421 Å; angles 90.00, 90.00, 90.00 degrees
Space group P4/mmm (No. 123)
Inequivalent atoms, fractional coordinates:
Cu  0.000  0.000  0.000 [1 per cell]
Re  0.500  0.500  0.000 [1 per cell]
Si  0.500  0.500  0.500 [1 per cell]
Ni  0.000  0.500  0.500 [2 per cell]


Record 10
Compound: La2PtPb
Source: Alexandria via LeMat-Bulk
Functional: PBEsol
Structure: optimized geometry

Magnetic moment (μB/cell): 0.0
Final energy (eV/cell): -49.5
DFT formation energy (meV per atom): -776

Cell lengths 4.451, 4.327, 11.729 Å; angles 90.00, 90.00, 90.00 degrees
Space group Amm2 (No. 38)
Inequivalent atoms, fractional coordinates:
La  0.000  0.000  0.000 [2 per cell]
La  0.500  0.000  0.287 [2 per cell]
Pt  0.500  0.000  0.539 [2 per cell]
Pb  0.000  0.000  0.712 [2 per cell]


Record 11
Compound: Ca3TlP
Source: Alexandria via LeMat-Bulk
Functional: PBEsol
Structure: optimized geometry

Magnetic moment (μB/cell): 0.0
Relative energy among the computed polymorphs (eV per atom): 0.948
Final energy (eV/cell): -13.8
DFT formation energy (meV per atom): 207

Cell lengths 5.669, 5.669, 5.669 Å; angles 90.00, 90.00, 90.00 degrees
Space group Pm-3m (No. 221)
Inequivalent atoms, fractional coordinates:
Ca  0.000  0.000  0.500 [3 per cell]
Tl  0.000  0.000  0.000 [1 per cell]
P  0.500  0.500  0.500 [1 per cell]


Record 12
Compound: MgTe2Br
Source: Alexandria via LeMat-Bulk
Functional: PBEsol
Structure: optimized geometry

Magnetic moment (μB/cell): 0.0
Relative energy among the computed polymorphs (eV per atom): 0.329
Final energy (eV/cell): -44.2
ΔE_f (raw) (meV per atom): -100

Cell lengths 7.416, 7.416, 7.416 Å; angles 90.00, 90.00, 90.00 degrees
Space group F-43m (No. 216)
Inequivalent atoms, fractional coordinates:
Mg  0.000  0.000  0.000 [4 per cell]
Te  0.000  0.000  0.500 [4 per cell]
Te  0.250  0.250  0.750 [4 per cell]
Br  0.250  0.250  0.250 [4 per cell]


Record 13
Compound: BaBePb4
Source: Alexandria via LeMat-Bulk
Functional: PBEsol
Structure: optimized geometry

Magnetic moment (μB/cell): 0.0
Final energy (eV/cell): -82.8
DFT formation energy (meV per atom): 242

Cell lengths 9.102, 9.102, 9.102 Å; angles 90.00, 90.00, 90.00 degrees
Space group F-43m (No. 216)
Inequivalent atoms, fractional coordinates:
Ba  0.000  0.000  0.000 [4 per cell]
Be  0.250  0.250  0.250 [4 per cell]
Pb  0.125  0.125  0.625 [16 per cell]


Record 14
Compound: Ag2OsBr
Source: Alexandria via LeMat-Bulk
Functional: PBEsol
Structure: optimized geometry

Magnetic moment (μB/cell): 0.0
Relative energy among the computed polymorphs (eV per atom): 0.159
Final energy (eV/cell): -34.5
ΔE_f (raw) (meV per atom): 864

Cell lengths 5.521, 9.095, 2.699 Å; angles 90.00, 90.00, 90.00 degrees
Space group Cmmm (No. 65)
Inequivalent atoms, fractional coordinates:
Ag  0.250  0.250  0.000 [4 per cell]
Os  0.000  0.000  0.500 [2 per cell]
Br  0.000  0.500  0.500 [2 per cell]